Sr3WO6, optimized geometry, DFT PBE+U; theoretical density = 5.882 Mg/m³; E_tot = -69.1 eV per formula unit; DOS(E_F) = 0.000 states/eV per atom; total magnetization = 0.0 μB per formula unit
1.0
6.144 0.000 0.000
0.000 5.891 0.002
0.000 5.888 8.467
O Sr W
12 6 2
direct
0.263 0.766 0.567
0.175 0.316 0.455
0.450 0.113 0.782
0.737 0.234 0.433
0.675 0.684 0.045
0.950 0.887 0.718
0.325 0.316 0.955
0.825 0.684 0.545
0.550 0.887 0.218
0.763 0.234 0.933
0.237 0.766 0.067
0.050 0.113 0.282
0.000 0.500 0.000
0.950 0.730 0.256
0.450 0.270 0.244
0.500 0.500 0.500
0.050 0.270 0.744
0.550 0.730 0.756
0.000 0.000 0.500
0.500 0.000 0.000